[1]
{
  "formula": "TcP2Pb",
  "functional": "meta-GGA SCAN",
  "state": "single point on PBEsol structure",
  "e_form_mev_per_atom": 396,
  "dft_energy_ev_per_atom": -32.514,
  "density_g_cm3": 7.9,
  "cell": [[-1.4711, 2.8144, 4.6654], [1.4711, -2.8144, 4.6654], [1.4711, 2.8144, -4.6654]],
  "species": ["Tc", "P", "P", "Pb"],
  "fractional_positions": [[0.0000, 0.0000, 0.0000], [0.1963, 0.6963, 0.5000], [0.8037, 0.3037, 0.5000], [0.5000, 0.5000, 0.0000]]
}

---

[2]
{
  "formula": "Co4CuIr",
  "functional": "meta-GGA SCAN",
  "state": "single point on PBEsol structure",
  "e_form_mev_per_atom": 145,
  "dft_energy_ev_per_atom": -25.774,
  "density_g_cm3": 11.9,
  "cell": [[0.0000, 3.2524, 3.2524], [3.2524, 0.0000, 3.2524], [3.2524, 3.2524, 0.0000]],
  "species": ["Co", "Co", "Co", "Co", "Cu", "Ir"],
  "fractional_positions": [[0.1254, 0.1254, 0.1254], [0.1254, 0.1254, 0.6238], [0.1254, 0.6238, 0.1254], [0.6238, 0.1254, 0.1254], [0.5000, 0.5000, 0.5000], [0.7500, 0.7500, 0.7500]]
}

---

[3]
{
  "formula": "Rb3As7",
  "functional": "meta-GGA SCAN",
  "state": "single point on PBEsol structure",
  "e_form_mev_per_atom": -453,
  "dft_energy_ev_per_atom": -20.808,
  "density_g_cm3": 4.0,
  "cell": [[7.4829, 0.0000, 0.0000], [0.0000, 13.1354, 0.0000], [-0.8778, 0.0000, 26.6756]],
  "species": ["Rb", "Rb", "Rb", "Rb", "Rb", "Rb", "Rb", "Rb", "Rb", "Rb", "Rb", "Rb", "Rb", "Rb", "Rb", "Rb", "Rb", "Rb", "Rb", "Rb", "Rb", "Rb", "Rb", "Rb", "As", "As", "As", "As", "As", "As", "As", "As", "As", "As", "As", "As", "As", "As", "As", "As", "As", "As", "As", "As", "As", "As", "As", "As", "As", "As", "As", "As", "As", "As", "As", "As", "As", "As", "As", "As", "As", "As", "As", "As", "As", "As", "As", "As", "As", "As", "As", "As", "As", "As", "As", "As", "As", "As", "As", "As"],
  "fractional_positions": [[0.0859, 0.1218, 0.2965], [0.0859, 0.3782, 0.7965], [0.1089, 0.6579, 0.9334], [0.1089, 0.8421, 0.4334], [0.2034, 0.5238, 0.6262], [0.2034, 0.9762, 0.1262], [0.3098, 0.1017, 0.7658], [0.3098, 0.3983, 0.2658], [0.3153, 0.5504, 0.4527], [0.3153, 0.9496, 0.9527], [0.3923, 0.5479, 0.1008], [0.3923, 0.9521, 0.6008], [0.6077, 0.0479, 0.3992], [0.6077, 0.4521, 0.8992], [0.6847, 0.0504, 0.0473], [0.6847, 0.4496, 0.5473], [0.6902, 0.6017, 0.7342], [0.6902, 0.8983, 0.2342], [0.7966, 0.0238, 0.8738], [0.7966, 0.4762, 0.3738], [0.8911, 0.1579, 0.5666], [0.8911, 0.3421, 0.0666], [0.9141, 0.6218, 0.2035], [0.9141, 0.8782, 0.7035], [0.0156, 0.1645, 0.9692], [0.0156, 0.3355, 0.4692], [0.0411, 0.7178, 0.8021], [0.0411, 0.7822, 0.3021], [0.0439, 0.1572, 0.4335], [0.0439, 0.3428, 0.9335], [0.1393, 0.6228, 0.3333], [0.1393, 0.8772, 0.8333], [0.1954, 0.1959, 0.8910], [0.1954, 0.3041, 0.3910], [0.2297, 0.1613, 0.0358], [0.2297, 0.3387, 0.5358], [0.2412, 0.6877, 0.7281], [0.2412, 0.8123, 0.2281], [0.2690, 0.0789, 0.4842], [0.2690, 0.4211, 0.9842], [0.3142, 0.6053, 0.8120], [0.3142, 0.8947, 0.3120], [0.4307, 0.6678, 0.2253], [0.4307, 0.8322, 0.7253], [0.4536, 0.6323, 0.3146], [0.4536, 0.8677, 0.8146], [0.4555, 0.2258, 0.5031], [0.4555, 0.2742, 0.0031], [0.4646, 0.2066, 0.6476], [0.4646, 0.2934, 0.1476], [0.4954, 0.1989, 0.9212], [0.4954, 0.3011, 0.4212], [0.5046, 0.6989, 0.5788], [0.5046, 0.8011, 0.0788], [0.5354, 0.7066, 0.8524], [0.5354, 0.7934, 0.3524], [0.5445, 0.7258, 0.9969], [0.5445, 0.7742, 0.4969], [0.5464, 0.1323, 0.1854], [0.5464, 0.3677, 0.6854], [0.5693, 0.1678, 0.2747], [0.5693, 0.3322, 0.7747], [0.6858, 0.1053, 0.6880], [0.6858, 0.3947, 0.1880], [0.7310, 0.5789, 0.0158], [0.7310, 0.9211, 0.5158], [0.7588, 0.1877, 0.7719], [0.7588, 0.3123, 0.2719], [0.7703, 0.6613, 0.4642], [0.7703, 0.8387, 0.9642], [0.8046, 0.6959, 0.6090], [0.8046, 0.8041, 0.1090], [0.8607, 0.1228, 0.1667], [0.8607, 0.3772, 0.6667], [0.9561, 0.6572, 0.0665], [0.9561, 0.8428, 0.5665], [0.9589, 0.2178, 0.6979], [0.9589, 0.2822, 0.1979], [0.9844, 0.6645, 0.5308], [0.9844, 0.8355, 0.0308]]
}